{
  "formula": "AlGaO3",
  "functional": "PBE",
  "state": "optimized geometry",
  "lattice_angstrom": [[2.9896, 0.0000, 0.0000], [0.0000, 4.3790, -0.4958], [0.0000, -1.0698, 4.2751]],
  "species": ["Al", "Ga", "O", "O", "O"],
  "frac_coords": [[0.5000, 0.5084, 0.5084], [0.0000, 0.9468, 0.9468], [0.5000, 0.6348, 0.9613], [0.5000, 0.9613, 0.6348], [0.0000, 0.3206, 0.3206]],
  "total_magnetization_mub_per_fu": 0.00,
  "formation_energy_uncorrected_ev_per_atom": -2.02,
  "dos_at_fermi_per_ev_fu": 0.00,
  "vol_a3_per_cell": 54,
  "total_energy_ev_per_cell": -31.7
}